A plane-wave DFT calculation with GGA-PBEsol was carried out for an optimized crystal structure of SbPAuF2.

Calculated values
- Raw total energy: -3.969 eV/atom
- E_form (uncorrected): -0.3431 eV per atom

Unit cell a=4.247 b=4.247 c=4.880 alpha=90.00 beta=90.00 gamma=90.00
Fractional coordinates of all 5 atoms:
Sb 0.000 0.000 0.000
P 0.500 0.500 0.000
Au 0.500 0.500 0.500
F 0.000 0.500 0.500
F 0.500 0.000 0.500



A plane-wave DFT calculation with GGA-PBEsol was carried out for an optimized crystal structure of PdRh2AuF.

Calculated values
- Raw total energy: -5.004 eV/atom
- E_form (uncorrected): 0.6133 eV per atom

Unit cell a=4.051 b=4.051 c=4.497 alpha=90.00 beta=90.00 gamma=90.00
Fractional coordinates of all 5 atoms:
Pd 0.000 0.000 0.000
Rh 0.000 0.500 0.500
Rh 0.500 0.000 0.500
Au 0.500 0.500 0.000
F 0.000 0.000 0.500



A plane-wave DFT calculation with GGA-PBEsol was carried out for an optimized crystal structure of PtAu2F.

Calculated values
- Raw total energy: -4.166 eV/atom
- E_form (uncorrected): 0.0192 eV per atom

Unit cell a=4.397 b=4.397 c=4.397 alpha=60.00 beta=60.00 gamma=60.00
Fractional coordinates of all 4 atoms:
Pt 0.000 0.000 0.000
Au 0.250 0.250 0.250
Au 0.750 0.750 0.750
F 0.500 0.500 0.500